First-principles (PBE-GGA) data for a geometry-optimized TaIn2Au structure, as listed in Alexandria.

N(E_F) in states/eV per atom: 0.40
Offset from the most stable computed form in kJ per mole of atoms: 9.84
Formation energy from the elements in eV per atom: 0.1721
Uncorrected energy in eV/f.u.: -19.9
Volume in Å³ per cell: 81.38

Cell: 5.6010 5.7493 3.0050 Å, 76.60 86.51 118.11°
Last column: nearest neighbours and their distance in Å.
Positions (direct):
Ta 0.0000 0.5000 0.5000  4 In 2.92, 2 Ta 3.00, 4 Au 3.10-3.26
Au 0.5000 0.5000 0.0000  4 In 2.92, 2 Au 3.00, 4 Ta 3.10-3.26
In 0.0000 0.0000 0.0000  2 Ta 2.92, 2 Au 2.92, 6 In 3.00-3.26
In 0.5000 0.0000 0.5000  2 Au 2.92, 2 Ta 2.92, 6 In 3.00-3.26